Ca2Ge2BiRh5: relaxed, PBE.

Lattice parameters (Å, degrees): 10.024 10.024 3.589 90.00 90.00 90.00
Fractional positions:
Ca  0.175  0.325  0.000
Ca  0.325  0.825  0.000
Ca  0.675  0.175  0.000
Ca  0.825  0.675  0.000
Ge  0.123  0.623  0.000
Ge  0.377  0.123  0.000
Ge  0.623  0.877  0.000
Ge  0.877  0.377  0.000
Bi  0.000  0.000  0.000
Bi  0.500  0.500  0.000
Rh  0.000  0.500  0.500
Rh  0.070  0.784  0.500
Rh  0.216  0.070  0.500
Rh  0.284  0.570  0.500
Rh  0.430  0.284  0.500
Rh  0.500  0.000  0.500
Rh  0.570  0.716  0.500
Rh  0.716  0.430  0.500
Rh  0.784  0.930  0.500
Rh  0.930  0.216  0.500

Results
For the density of states at the Fermi level, the calculation gives 0.28 states/eV/atom. The formation energy is -0.61 eV/atom.

HoCd3Rh4: relaxed, PBE.

Lattice parameters (Å, degrees): 8.001 8.001 8.001 33.57 33.57 33.57
Fractional positions:
Ho  0.000  0.000  0.000
Cd  0.249  0.249  0.249
Cd  0.500  0.500  0.500
Cd  0.751  0.751  0.751
Rh  0.125  0.125  0.125
Rh  0.376  0.376  0.376
Rh  0.624  0.624  0.624
Rh  0.875  0.875  0.875

Results
For the density of states at the Fermi level, the calculation gives 0.61 states/eV/atom. The formation energy is -0.34 eV/atom.

AlMoPb: relaxed, PBE.

Lattice parameters (Å, degrees): 7.136 7.136 7.136 155.62 155.62 34.76
Fractional positions:
Al  0.000  0.000  0.000
Mo  0.622  0.622  0.000
Pb  0.291  0.291  0.000

Results
For the density of states at the Fermi level, the calculation gives 1.00 states/eV/atom. Its offset from the most stable computed form is 0.169 eV per atom. The formation energy is 0.48 eV/atom.